This record from OQMD describes a relaxed KCu3WS4 crystal. The functional is PBE.

Cell: 5.8872 5.8872 5.8872 Å, 90.00 90.00 90.00°
Last column: nearest neighbours and their distance in Å.
Fractional coordinates of all 9 atoms:
K 0.0000 0.0000 0.0000  4 S 2.82
Cu 0.0000 0.5000 0.5000  4 S 2.47
Cu 0.5000 0.0000 0.5000  4 S 2.47
Cu 0.5000 0.5000 0.0000  4 S 2.47
W 0.5000 0.5000 0.5000  4 S 2.28
S 0.2765 0.2765 0.2765  1 W 2.28, 3 Cu 2.47
S 0.2765 0.7235 0.7235  1 W 2.28, 3 Cu 2.47
S 0.7235 0.2765 0.7235  1 W 2.28, 3 Cu 2.47
S 0.7235 0.7235 0.2765  1 W 2.28, 3 Cu 2.47

Computed properties:
- electronic total energy (eV/cell) = -44.23
- crystal system = cubic